A relaxed structure of TaReAg. Source: the Alexandria database, functional GGA-PBE.

a = 7.062 Å, b = 7.062 Å, c = 7.062 Å
α = 157.78°, β = 157.78°, γ = 31.62°
Fractional coordinates of all 3 atoms:
Re 0.333 0.333 0.000
Ag 0.998 0.998 0.000
Ta 0.669 0.669 0.000

Total moment: 0.0 μB/f.u.
Symmetry: I4mm
ΔH_f (0 K): 1.3 eV per formula unit
Crystal system: tetragonal
E above lowest polymorph: 142 meV per atom